The following is a PBE-GGA calculation of a relaxed structure of Nd2BeSnO6, from Alexandria via LeMat-Bulk.

Results
* VASP energy: -7.2755 eV/atom
* D(E_F): 0.00 states/eV per cell
* formation energy without anion corrections: -2.57 eV per atom

Cell and atoms, written as POSCAR:
```
Nd2BeSnO6
1.0
5.469 0.000 0.017
0.000 5.564 0.000
0.074 0.000 7.818
O Nd Sn Be
12 4 2 2
Cartesian
4.411 4.339 4.290
3.221 0.116 1.887
1.548 3.902 3.561
4.320 4.444 7.479
1.639 4.007 0.372
1.133 1.225 3.545
0.523 2.666 5.788
3.904 1.557 7.463
1.224 1.120 0.357
5.020 2.898 2.048
3.996 1.662 4.274
2.323 5.448 5.948
0.092 5.307 1.966
5.451 0.258 5.870
2.864 3.040 5.884
2.680 2.524 1.952
0.000 2.782 0.000
2.772 0.000 3.918
0.037 2.782 3.909
2.735 0.000 0.009
```

=====

The following is a PBE-GGA calculation of a relaxed structure of NdBe4Te3O12, from Alexandria via LeMat-Bulk.

Results
* VASP energy: -6.2477 eV/atom
* D(E_F): 6.26 states/eV per cell
* formation energy without anion corrections: -1.82 eV per atom

Cell and atoms, written as POSCAR:
```
NdBe4Te3O12
1.0
6.572 -0.026 -0.036
-1.608 6.372 -0.036
-1.608 -2.056 6.031
Be O Te Nd
4 12 3 1
Cartesian
1.678 5.941 0.248
1.678 2.145 2.980
-2.006 1.230 5.712
5.361 -0.736 2.980
-0.811 0.259 5.872
-1.586 4.697 2.980
4.941 2.955 0.560
-2.165 2.459 4.783
2.908 5.014 0.088
0.460 3.097 2.980
1.678 0.890 3.883
4.166 -1.196 3.850
5.520 0.535 2.110
2.895 2.447 2.077
1.678 -1.218 5.400
0.447 5.798 1.177
2.841 2.892 -0.036
2.122 -1.130 3.264
-1.608 2.528 2.731
0.000 0.000 0.000
```

=====

The following is a PBE-GGA calculation of a relaxed structure of NdBeTe2O8, from Alexandria via LeMat-Bulk.

Results
* VASP energy: -6.0542 eV/atom
* D(E_F): 1.38 states/eV per cell
* formation energy without anion corrections: -1.52 eV per atom

Cell and atoms, written as POSCAR:
```
NdBeTe2O8
1.0
4.873 0.303 -0.004
0.388 4.867 -0.006
0.005 0.008 6.546
Nd O Be Te
1 8 1 2
Cartesian
0.002 0.004 3.273
1.757 1.726 3.270
1.668 1.638 -0.003
4.004 1.191 1.341
3.593 3.531 -0.007
3.508 3.451 3.267
1.259 3.982 1.340
1.261 3.986 5.196
4.006 1.195 5.197
0.000 0.000 0.000
2.634 2.591 5.044
2.631 2.587 1.493
```